! Tb2ZrBr (GGA-PBE, optimized geometry); values from VASP
! Total DFT energy (no corrections): -4.987 eV/atom
! Magnetization: 0.00 μB/cell
! Formation energy (no corrections): -0.117 eV per atom
&SYSTEM
  ibrav = 0, nat = 4, ntyp = 3
/
ATOMIC_SPECIES
Tb 158.93 Tb.upf
Br 79.90 Br.upf
Zr 91.22 Zr.upf
CELL_PARAMETERS angstrom
-1.017 0.279 3.193
-1.113 -2.709 1.653
9.649 -2.937 5.102
ATOMIC_POSITIONS crystal
Tb 0.095 0.095 0.715
Tb 0.905 0.905 0.285
Br 0.500 0.500 0.500
Zr 0.000 0.000 0.000